{"formula": "Fe2CoRe", "functional": "PBE", "state": "optimized geometry", "cell": [[2.559, -3.613, 0.000], [2.559, 3.613, 0.000], [0.000, 0.000, 2.600]], "species": ["Fe", "Fe", "Co", "Re"], "fractional_positions": [[0.000, 0.500, 0.000], [0.500, 0.000, 0.000], [0.000, 0.000, 0.500], [0.500, 0.500, 0.500]], "sg": "Cmmm (65)", "formation_energy_ev_per_fu": 0.54, "total_magnetization_mub_per_fu": 4.0}